Entry 1:
Here is crystalline TcPIO2 at its relaxed geometry from Alexandria. Energies are from PBE-GGA.

a b c (Å): 3.8097 3.8097 6.1207
angles (deg): 90.00 90.00 90.00
Closest atoms and distances in Å follow each position.
Space group P4/mmm (No. 123)
Unique sites:
Tc 0.0000 0.0000 0.0000  4 O 1.90
P 0.5000 0.5000 0.5000  4 I 2.69
I 0.0000 0.0000 0.5000  4 P 2.69
O 0.0000 0.5000 0.0000  2 Tc 1.90

Calculated values
Its total energy is -5.6660 eV/atom. As for the crystal system: tetragonal. For the energy above the most stable polymorph in this dataset, the calculation gives 0.288 eV/atom. The value obtained for the energy relative to the elements, uncorrected is -20.99 kJ per mole of atoms. The value obtained for the total moment is 0.00 μB/cell.

---

Entry 2:
Here is crystalline TePIO2 at its relaxed geometry from Alexandria. Energies are from PBE-GGA.

a b c (Å): 4.0032 4.0032 7.6936
angles (deg): 90.00 90.00 90.00
Closest atoms and distances in Å follow each position.
Space group P4/mmm (No. 123)
Unique sites:
Te 0.0000 0.0000 0.0000  4 O 2.00
P 0.5000 0.5000 0.5000  4 I 2.83
I 0.0000 0.0000 0.5000  4 P 2.83
O 0.0000 0.5000 0.0000  2 Te 2.00

Calculated values
Its total energy is -3.9089 eV/atom. As for the crystal system: tetragonal. For the energy above the most stable polymorph in this dataset, the calculation gives 0.231 eV/atom. The value obtained for the energy relative to the elements, uncorrected is 9.14 kJ per mole of atoms. The value obtained for the total moment is 0.00 μB/cell.

---

Entry 3:
Here is crystalline TePIO2 at its relaxed geometry from Alexandria. Energies are from PBE-GGA.

a b c (Å): 3.9828 3.9828 6.0753
angles (deg): 90.00 90.00 90.00
Closest atoms and distances in Å follow each position.
Space group P4/mmm (No. 123)
Unique sites:
Te 0.0000 0.0000 0.0000  4 P 2.82
P 0.5000 0.5000 0.0000  4 Te 2.82, 2 I 3.04
I 0.5000 0.5000 0.5000  4 O 1.99
O 0.0000 0.5000 0.5000  2 I 1.99

Calculated values
Its total energy is -3.7723 eV/atom. As for the crystal system: tetragonal. For the energy above the most stable polymorph in this dataset, the calculation gives 0.368 eV/atom. The value obtained for the energy relative to the elements, uncorrected is 22.32 kJ per mole of atoms. The value obtained for the total moment is 0.00 μB/cell.

---

Entry 4:
Here is crystalline TePIO2 at its relaxed geometry from Alexandria. Energies are from PBE-GGA.

a b c (Å): 4.0229 4.0229 5.7317
angles (deg): 90.00 90.00 90.00
Closest atoms and distances in Å follow each position.
Space group P4/mmm (No. 123)
Unique sites:
Te 0.0000 0.0000 0.0000  4 O 2.01
P 0.0000 0.0000 0.5000  4 I 2.84, 2 Te 2.87
I 0.5000 0.5000 0.5000  4 P 2.84
O 0.0000 0.5000 0.0000  2 Te 2.01

Calculated values
Its total energy is -4.1402 eV/atom. As for the crystal system: tetragonal. For the energy above the most stable polymorph in this dataset, the calculation gives 0.000 eV/atom. The value obtained for the energy relative to the elements, uncorrected is -13.18 kJ per mole of atoms. The value obtained for the total moment is 0.00 μB/cell.

---

Entry 5:
Here is crystalline TePIO2 at its relaxed geometry from Alexandria. Energies are from PBE-GGA.

a b c (Å): 3.9552 3.9552 6.2578
angles (deg): 90.00 90.00 90.00
Closest atoms and distances in Å follow each position.
Space group P4/mmm (No. 123)
Unique sites:
Te 0.0000 0.0000 0.0000  4 I 2.80
P 0.5000 0.5000 0.5000  4 O 1.98
I 0.5000 0.5000 0.0000  4 Te 2.80, 2 P 3.13
O 0.0000 0.5000 0.5000  2 P 1.98

Calculated values
Its total energy is -3.7423 eV/atom. As for the crystal system: tetragonal. For the energy above the most stable polymorph in this dataset, the calculation gives 0.398 eV/atom. The value obtained for the energy relative to the elements, uncorrected is 25.21 kJ per mole of atoms. The value obtained for the total moment is 0.00 μB/cell.

---

Entry 6:
Here is crystalline TiP2IO at its relaxed geometry from Alexandria. Energies are from PBE-GGA.

a b c (Å): 5.0130 5.0130 3.7653
angles (deg): 90.00 90.00 90.00
Closest atoms and distances in Å follow each position.
Space group P4/mmm (No. 123)
Unique sites:
Ti 0.0000 0.0000 0.0000  2 O 1.88
P 0.0000 0.5000 0.0000  2 Ti 2.51
I 0.5000 0.5000 0.5000  8 P 3.13
O 0.0000 0.0000 0.5000  2 Ti 1.88

Calculated values
Its total energy is -5.4187 eV/atom. As for the crystal system: tetragonal. For the energy above the most stable polymorph in this dataset, the calculation gives 0.000 eV/atom. The value obtained for the energy relative to the elements, uncorrected is -36.10 kJ per mole of atoms. The value obtained for the total moment is 0.00 μB/cell.

---

Entry 7:
Here is crystalline TiPIO2 at its relaxed geometry from Alexandria. Energies are from PBE-GGA.

a b c (Å): 3.7825 3.7825 5.6793
angles (deg): 90.00 90.00 90.00
Closest atoms and distances in Å follow each position.
Space group P4/mmm (No. 123)
Unique sites:
Ti 0.0000 0.0000 0.0000  4 I 2.67
P 0.5000 0.5000 0.5000  4 O 1.89
I 0.5000 0.5000 0.0000  4 Ti 2.67, 2 P 2.84
O 0.0000 0.5000 0.5000  2 P 1.89

Calculated values
Its total energy is -5.0419 eV/atom. As for the crystal system: tetragonal. For the energy above the most stable polymorph in this dataset, the calculation gives 1.037 eV/atom. The value obtained for the energy relative to the elements, uncorrected is -8.45 kJ per mole of atoms. The value obtained for the total moment is 2.18 μB/cell.

---

Entry 8:
Here is crystalline TiPIO2 at its relaxed geometry from Alexandria. Energies are from PBE-GGA.

a b c (Å): 3.8372 3.8372 5.7065
angles (deg): 90.00 90.00 90.00
Closest atoms and distances in Å follow each position.
Space group P4/mmm (No. 123)
Unique sites:
Ti 0.0000 0.0000 0.0000  4 O 1.92
P 0.0000 0.0000 0.5000  4 I 2.71, 2 Ti 2.85
I 0.5000 0.5000 0.5000  4 P 2.71
O 0.0000 0.5000 0.0000  2 Ti 1.92

Calculated values
Its total energy is -6.0789 eV/atom. As for the crystal system: tetragonal. For the energy above the most stable polymorph in this dataset, the calculation gives 0.000 eV/atom. The value obtained for the energy relative to the elements, uncorrected is -108.52 kJ per mole of atoms. The value obtained for the total moment is 0.15 μB/cell.

---

Entry 9:
Here is crystalline TiPIO2 at its relaxed geometry from Alexandria. Energies are from PBE-GGA.

a b c (Å): 3.8117 3.8117 6.6081
angles (deg): 90.00 90.00 90.00
Closest atoms and distances in Å follow each position.
Space group P4/mmm (No. 123)
Unique sites:
Ti 0.0000 0.0000 0.0000  4 O 1.91
P 0.5000 0.5000 0.5000  4 I 2.70
I 0.0000 0.0000 0.5000  4 P 2.70
O 0.0000 0.5000 0.0000  2 Ti 1.91

Calculated values
Its total energy is -5.8792 eV/atom. As for the crystal system: tetragonal. For the energy above the most stable polymorph in this dataset, the calculation gives 0.200 eV/atom. The value obtained for the energy relative to the elements, uncorrected is -89.24 kJ per mole of atoms. The value obtained for the total moment is 0.00 μB/cell.

---

Entry 10:
Here is crystalline TiP2IO at its relaxed geometry from Alexandria. Energies are from PBE-GGA.

a b c (Å): 5.0667 5.0667 3.8803
angles (deg): 90.00 90.00 90.00
Closest atoms and distances in Å follow each position.
Space group P4/mmm (No. 123)
Unique sites:
Ti 0.0000 0.0000 0.0000  8 P 3.19
P 0.0000 0.5000 0.5000  2 I 2.53
I 0.5000 0.5000 0.5000  2 O 1.94
O 0.5000 0.5000 0.0000  2 I 1.94

Calculated values
Its total energy is -4.2072 eV/atom. As for the crystal system: tetragonal. For the energy above the most stable polymorph in this dataset, the calculation gives 1.212 eV/atom. The value obtained for the energy relative to the elements, uncorrected is 80.80 kJ per mole of atoms. The value obtained for the total moment is 0.00 μB/cell.

---

Entry 11:
Here is crystalline TiPIO2 at its relaxed geometry from Alexandria. Energies are from PBE-GGA.

a b c (Å): 3.9631 3.9631 5.7023
angles (deg): 90.00 90.00 90.00
Closest atoms and distances in Å follow each position.
Space group P4/mmm (No. 123)
Unique sites:
Ti 0.0000 0.0000 0.0000  4 P 2.80
P 0.5000 0.5000 0.0000  4 Ti 2.80, 2 I 2.85
I 0.5000 0.5000 0.5000  4 O 1.98
O 0.0000 0.5000 0.5000  2 I 1.98

Calculated values
Its total energy is -4.7921 eV/atom. As for the crystal system: tetragonal. For the energy above the most stable polymorph in this dataset, the calculation gives 1.287 eV/atom. The value obtained for the energy relative to the elements, uncorrected is 15.65 kJ per mole of atoms. The value obtained for the total moment is 1.60 μB/cell.

---

Entry 12:
Here is crystalline TlPIO6 at its relaxed geometry from Alexandria. Energies are from PBE-GGA.

a b c (Å): 5.0636 5.0636 6.4215
angles (deg): 90.00 90.00 120.00
Closest atoms and distances in Å follow each position.
Space group P312 (No. 149)
Unique sites:
Tl 0.0000 0.0000 0.0000  6 O 2.92
P 0.3333 0.6667 0.5000  6 O 1.74
I 0.6667 0.3333 0.5000  6 O 2.04
O 0.0433 0.4069 0.6621  1 P 1.74

Calculated values
Its total energy is -5.2180 eV/atom. As for the crystal system: trigonal. The value obtained for the energy relative to the elements, uncorrected is -84.55 kJ per mole of atoms. The value obtained for the total moment is 0.44 μB/cell.

---

Entry 13:
Here is crystalline TlP2IO at its relaxed geometry from Alexandria. Energies are from PBE-GGA.

a b c (Å): 5.3053 5.3053 4.0068
angles (deg): 90.00 90.00 90.00
Closest atoms and distances in Å follow each position.
Space group P4/mmm (No. 123)
Unique sites:
Tl 0.0000 0.0000 0.0000  8 P 3.32
P 0.0000 0.5000 0.5000  2 I 2.65
I 0.5000 0.5000 0.5000  2 O 2.00
O 0.5000 0.5000 0.0000  2 I 2.00

Calculated values
Its total energy is -3.1744 eV/atom. As for the crystal system: tetragonal. For the energy above the most stable polymorph in this dataset, the calculation gives 0.284 eV/atom. The value obtained for the energy relative to the elements, uncorrected is 73.76 kJ per mole of atoms. The value obtained for the total moment is 0.00 μB/cell.

---

Entry 14:
Here is crystalline TlPIO2 at its relaxed geometry from Alexandria. Energies are from PBE-GGA.

a b c (Å): 4.1630 4.1630 7.2471
angles (deg): 90.00 90.00 90.00
Closest atoms and distances in Å follow each position.
Space group P4/mmm (No. 123)
Unique sites:
Tl 0.0000 0.0000 0.0000  4 O 2.08
P 0.5000 0.5000 0.5000  4 I 2.94
I 0.0000 0.0000 0.5000  4 P 2.94
O 0.0000 0.5000 0.0000  2 Tl 2.08

Calculated values
Its total energy is -3.3085 eV/atom. As for the crystal system: tetragonal. For the energy above the most stable polymorph in this dataset, the calculation gives 0.526 eV/atom. The value obtained for the energy relative to the elements, uncorrected is 52.11 kJ per mole of atoms. The value obtained for the total moment is 1.90 μB/cell.

---

Entry 15:
Here is crystalline TlPIO2 at its relaxed geometry from Alexandria. Energies are from PBE-GGA.

a b c (Å): 4.1159 4.1159 5.4893
angles (deg): 90.00 90.00 90.00
Closest atoms and distances in Å follow each position.
Space group P4/mmm (No. 123)
Unique sites:
Tl 0.0000 0.0000 0.0000  4 P 2.91
P 0.5000 0.5000 0.0000  2 I 2.74, 4 Tl 2.91
I 0.5000 0.5000 0.5000  4 O 2.06
O 0.0000 0.5000 0.5000  2 I 2.06

Calculated values
Its total energy is -3.6971 eV/atom. As for the crystal system: tetragonal. For the energy above the most stable polymorph in this dataset, the calculation gives 0.137 eV/atom. The value obtained for the energy relative to the elements, uncorrected is 14.61 kJ per mole of atoms. The value obtained for the total moment is 0.00 μB/cell.

---

Entry 16:
Here is crystalline TlPIO2 at its relaxed geometry from Alexandria. Energies are from PBE-GGA.

a b c (Å): 4.1595 4.1595 6.3835
angles (deg): 90.00 90.00 90.00
Closest atoms and distances in Å follow each position.
Space group P4/mmm (No. 123)
Unique sites:
Tl 0.0000 0.0000 0.0000  4 O 2.08
P 0.0000 0.0000 0.5000  4 I 2.94, 2 Tl 3.19
I 0.5000 0.5000 0.5000  4 P 2.94
O 0.0000 0.5000 0.0000  2 Tl 2.08

Calculated values
Its total energy is -3.3328 eV/atom. As for the crystal system: tetragonal. For the energy above the most stable polymorph in this dataset, the calculation gives 0.502 eV/atom. The value obtained for the energy relative to the elements, uncorrected is 49.76 kJ per mole of atoms. The value obtained for the total moment is 1.54 μB/cell.

---

Entry 17:
Here is crystalline TlP2IO at its relaxed geometry from Alexandria. Energies are from PBE-GGA.

a b c (Å): 5.2891 5.2891 4.1982
angles (deg): 90.00 90.00 90.00
Closest atoms and distances in Å follow each position.
Space group P4/mmm (No. 123)
Unique sites:
Tl 0.0000 0.0000 0.0000  2 O 2.10
P 0.0000 0.5000 0.0000  2 Tl 2.64
I 0.5000 0.5000 0.5000  8 P 3.38, 4 O 3.74
O 0.0000 0.0000 0.5000  2 Tl 2.10

Calculated values
Its total energy is -2.9999 eV/atom. As for the crystal system: tetragonal. For the energy above the most stable polymorph in this dataset, the calculation gives 0.458 eV/atom. The value obtained for the energy relative to the elements, uncorrected is 90.60 kJ per mole of atoms. The value obtained for the total moment is 0.89 μB/cell.

---

Entry 18:
Here is crystalline TlP2IO8 at its relaxed geometry from Alexandria. Energies are from PBE-GGA.

a b c (Å): 8.4520 5.3727 8.7402
angles (deg): 90.00 93.89 90.00
Closest atoms and distances in Å follow each position.
Space group C2/m (No. 12)
Unique sites:
Tl 0.0000 0.0000 0.0000  6 O 2.94-3.15
P 0.1345 0.5000 0.3016  4 O 1.49-1.59
I 0.0000 0.0000 0.5000  6 O 2.07-2.12
O 0.0255 0.2635 0.3232  1 P 1.59
O 0.1973 0.5000 0.1463  1 P 1.49
O 0.2420 0.0000 0.5544  1 P 1.58

Calculated values
Its total energy is -5.9365 eV/atom. As for the crystal system: monoclinic. The value obtained for the energy relative to the elements, uncorrected is -135.37 kJ per mole of atoms. The value obtained for the total moment is 0.00 μB/cell.

---

Entry 19:
Here is crystalline TlPIO2 at its relaxed geometry from Alexandria. Energies are from PBE-GGA.

a b c (Å): 4.1089 4.1089 5.4611
angles (deg): 90.00 90.00 90.00
Closest atoms and distances in Å follow each position.
Space group P4/mmm (No. 123)
Unique sites:
Tl 0.0000 0.0000 0.0000  4 I 2.91
P 0.5000 0.5000 0.5000  4 O 2.05
I 0.5000 0.5000 0.0000  2 P 2.73, 4 Tl 2.91
O 0.0000 0.5000 0.5000  2 P 2.05

Calculated values
Its total energy is -3.8346 eV/atom. As for the crystal system: tetragonal. For the energy above the most stable polymorph in this dataset, the calculation gives 0.000 eV/atom. The value obtained for the energy relative to the elements, uncorrected is 1.35 kJ per mole of atoms. The value obtained for the total moment is 0.00 μB/cell.

---

Entry 20:
Here is crystalline TlP2IO at its relaxed geometry from Alexandria. Energies are from PBE-GGA.

a b c (Å): 4.2035 4.2035 6.9959
angles (deg): 90.00 90.00 90.00
Closest atoms and distances in Å follow each position.
Space group P4/mmm (No. 123)
Unique sites:
Tl 0.0000 0.0000 0.0000  4 I 2.97
P 0.0000 0.5000 0.5000  2 O 2.10
I 0.5000 0.5000 0.0000  4 Tl 2.97
O 0.5000 0.5000 0.5000  4 P 2.10

Calculated values
Its total energy is -3.4583 eV/atom. As for the crystal system: tetragonal. For the energy above the most stable polymorph in this dataset, the calculation gives 0.000 eV/atom. The value obtained for the energy relative to the elements, uncorrected is 46.37 kJ per mole of atoms. The value obtained for the total moment is 0.00 μB/cell.